Record 1
SrPt4: optimized geometry, PBE-GGA.

Results
Final energy ... -5.458 eV/atom
Spin magnetization ... 0.00 μB/cell

Geometry as POSCAR:
```
SrPt4
1.0
-2.185 2.185 5.430
2.185 -2.185 5.430
2.185 2.185 -5.430
Sr Pt
1 4
direct
0.000 0.000 0.000 Sr
0.250 0.750 0.500 Pt
0.386 0.386 0.000 Pt
0.614 0.614 0.000 Pt
0.750 0.250 0.500 Pt
```



Record 2
LaTmGa2Pd4: optimized geometry, PBE-GGA.

Results
Final energy ... -5.397 eV/atom
Spin magnetization ... 0.00 μB/cell

Geometry as POSCAR:
```
LaTmGa2Pd4
1.0
4.434 0.000 0.000
-2.217 3.840 0.000
0.000 0.000 9.251
La Tm Ga Pd
1 1 2 4
direct
0.000 0.000 0.000 La
0.333 0.667 0.500 Tm
0.667 0.333 0.263 Ga
0.667 0.333 0.737 Ga
0.000 0.000 0.339 Pd
0.000 0.000 0.661 Pd
0.333 0.667 0.187 Pd
0.333 0.667 0.813 Pd
```



Record 3
DyPt2O4: optimized geometry, PBE-GGA.

Results
Final energy ... -6.167 eV/atom
Spin magnetization ... 4.71 μB/cell

Geometry as POSCAR:
```
DyPt2O4
1.0
0.000 4.608 4.608
4.608 0.000 4.608
4.608 4.608 0.000
Dy Pt O
2 4 8
direct
0.125 0.125 0.125 Dy
0.875 0.875 0.875 Dy
0.000 0.500 0.500 Pt
0.500 0.000 0.500 Pt
0.500 0.500 0.000 Pt
0.500 0.500 0.500 Pt
0.263 0.263 0.263 O
0.263 0.263 0.712 O
0.263 0.712 0.263 O
0.288 0.737 0.737 O
0.712 0.263 0.263 O
0.737 0.288 0.737 O
0.737 0.737 0.288 O
0.737 0.737 0.737 O
```